DFT (PBE-GGA) results for a relaxed structure of CeNdSiPd.

The structure in POSCAR format:
```
CeNdSiPd
1.0
5.1282 0.0000 0.0000
2.5641 4.4411 0.0000
2.5641 1.4804 4.1871
Si Nd Pd Ce
1 1 1 1
direct
0.7500 0.7500 0.7500
0.5000 0.5000 0.5000
0.2500 0.2500 0.2500
0.0000 0.0000 0.0000
```

Results
- ρ: 7.29 g/cm3
- Uncorrected formation energy: -0.54 eV per atom
- Space-group type: F-43m (216)
- Size of the total moment: 1.18 μB per cell